Entry from Alexandria via LeMat-Bulk: a crystal of ScGe2RuPb relaxed with PBEsol (meta-GGA SCAN).

abc: 5.0671 5.0671 4.5781
angles: 90.00 90.00 90.00
Fractional coordinates of all 5 atoms:
Sc (0.0000, 0.0000, 0.0000)
Ge (0.0000, 0.5000, 0.0000)
Ge (0.5000, 0.0000, 0.0000)
Ru (0.0000, 0.0000, 0.5000)
Pb (0.5000, 0.5000, 0.5000)

Results
Magnetization (μB per cell): 0.00
Calculated formation energy (eV per atom): 0.81
Space-group type: P4/mmm (123)

Entry from Alexandria via LeMat-Bulk: a crystal of Mg2TaAu relaxed with PBEsol (meta-GGA SCAN).

abc: 2.8867 5.0314 10.0245
angles: 90.00 90.00 90.00
Fractional coordinates of all 8 atoms:
Mg (0.0000, 0.0000, 0.2315)
Mg (0.0000, 0.0000, 0.7685)
Mg (0.5000, 0.5000, 0.2685)
Mg (0.5000, 0.5000, 0.7315)
Ta (0.0000, 0.5000, 0.0000)
Ta (0.5000, 0.0000, 0.5000)
Au (0.0000, 0.5000, 0.5000)
Au (0.5000, 0.0000, 0.0000)

Results
Magnetization (μB per cell): 0.00
Calculated formation energy (eV per atom): -0.02
Offset from the most stable computed form (meV/atom): 17
Space-group type: Immm (71)

Entry from Alexandria via LeMat-Bulk: a crystal of Cd2MoP relaxed with PBEsol (meta-GGA SCAN).

abc: 8.7468 3.2560 5.3383
angles: 90.00 112.52 90.00
Fractional coordinates of all 8 atoms:
Cd (0.0000, 0.0000, 0.0000)
Cd (0.2191, 0.0000, 0.7679)
Cd (0.5000, 0.5000, 0.0000)
Cd (0.7191, 0.5000, 0.7679)
Mo (0.4358, 0.0000, 0.3992)
Mo (0.9358, 0.5000, 0.3992)
P (0.2318, 0.5000, 0.3826)
P (0.7318, 0.0000, 0.3826)

Results
Magnetization (μB per cell): 0.00
Calculated formation energy (eV per atom): 0.16
Space-group type: Cm (8)

Entry from Alexandria via LeMat-Bulk: a crystal of LiMgZn4 relaxed with PBEsol (meta-GGA SCAN).

abc: 5.0730 5.0730 5.0730
angles: 60.00 60.00 60.00
Fractional coordinates of all 6 atoms:
Li (0.0000, 0.0000, 0.0000)
Mg (0.2500, 0.2500, 0.2500)
Zn (0.1241, 0.6253, 0.6253)
Zn (0.6253, 0.1241, 0.6253)
Zn (0.6253, 0.6253, 0.1241)
Zn (0.6253, 0.6253, 0.6253)

Results
Magnetization (μB per cell): 0.00
Calculated formation energy (eV per atom): -0.24
Space-group type: F-43m (216)

Entry from Alexandria via LeMat-Bulk: a crystal of CdAsAu2 relaxed with PBEsol (meta-GGA SCAN).

abc: 4.2122 4.2122 4.0609
angles: 90.00 90.00 90.00
Fractional coordinates of all 4 atoms:
Cd (0.0000, 0.0000, 0.0000)
As (0.5000, 0.5000, 0.0000)
Au (0.0000, 0.5000, 0.5000)
Au (0.5000, 0.0000, 0.5000)

Results
Magnetization (μB per cell): 0.00
Calculated formation energy (eV per atom): 0.02
Offset from the most stable computed form (meV/atom): 15
Space-group type: P4/mmm (123)

Entry from Alexandria via LeMat-Bulk: a crystal of ScTi3Si relaxed with PBEsol (meta-GGA SCAN).

abc: 4.6473 4.6473 4.6473
angles: 90.00 90.00 90.00
Fractional coordinates of all 5 atoms:
Sc (0.0000, 0.0000, 0.0000)
Ti (0.0000, 0.5000, 0.5000)
Ti (0.5000, 0.0000, 0.5000)
Ti (0.5000, 0.5000, 0.0000)
Si (0.5000, 0.5000, 0.5000)

Results
Magnetization (μB per cell): 0.00
Formation energy (no corrections) (eV/f.u.): 0.93
Offset from the most stable computed form (meV/atom): 0
Space-group type: Pm-3m (221)

Entry from Alexandria via LeMat-Bulk: a crystal of MgFe2Pb relaxed with PBEsol (meta-GGA SCAN).

abc: 3.1385 3.1385 6.9998
angles: 90.00 90.00 90.00
Fractional coordinates of all 4 atoms:
Mg (0.0000, 0.0000, 0.0000)
Fe (0.0000, 0.0000, 0.6157)
Fe (0.5000, 0.5000, 0.7635)
Pb (0.5000, 0.5000, 0.3505)

Results
Magnetization (μB per cell): 5.45
Calculated formation energy (eV per atom): 0.19
Space-group type: P4mm (99)

Entry from Alexandria via LeMat-Bulk: a crystal of K3Hg relaxed with PBEsol (meta-GGA SCAN).

abc: 5.8264 5.8264 10.6341
angles: 90.00 90.00 90.00
Fractional coordinates of all 8 atoms:
K (0.0000, 0.0000, 0.0000)
K (0.0000, 0.5000, 0.2500)
K (0.0000, 0.5000, 0.7500)
K (0.5000, 0.0000, 0.2500)
K (0.5000, 0.0000, 0.7500)
K (0.5000, 0.5000, 0.5000)
Hg (0.0000, 0.0000, 0.5000)
Hg (0.5000, 0.5000, 0.0000)

Results
Magnetization (μB per cell): 0.01
Calculated formation energy (eV per atom): -0.07
Space-group type: I4/mmm (139)

Copy entry 7 word for word.
Entry from Alexandria via LeMat-Bulk: a crystal of MgFe2Pb relaxed with PBEsol (meta-GGA SCAN).

abc: 3.1385 3.1385 6.9998
angles: 90.00 90.00 90.00
Fractional coordinates of all 4 atoms:
Mg (0.0000, 0.0000, 0.0000)
Fe (0.0000, 0.0000, 0.6157)
Fe (0.5000, 0.5000, 0.7635)
Pb (0.5000, 0.5000, 0.3505)

Results
Magnetization (μB per cell): 5.45
Calculated formation energy (eV per atom): 0.19
Space-group type: P4mm (99)

Question: Which value of magnetization does entry 2 give?
Answer: 0.00 μB per cell

What did the seventh record say?
Entry from Alexandria via LeMat-Bulk: a crystal of MgFe2Pb relaxed with PBEsol (meta-GGA SCAN).

abc: 3.1385 3.1385 6.9998
angles: 90.00 90.00 90.00
Fractional coordinates of all 4 atoms:
Mg (0.0000, 0.0000, 0.0000)
Fe (0.0000, 0.0000, 0.6157)
Fe (0.5000, 0.5000, 0.7635)
Pb (0.5000, 0.5000, 0.3505)

Results
Magnetization (μB per cell): 5.45
Calculated formation energy (eV per atom): 0.19
Space-group type: P4mm (99)

What did the fifth record say?
Entry from Alexandria via LeMat-Bulk: a crystal of CdAsAu2 relaxed with PBEsol (meta-GGA SCAN).

abc: 4.2122 4.2122 4.0609
angles: 90.00 90.00 90.00
Fractional coordinates of all 4 atoms:
Cd (0.0000, 0.0000, 0.0000)
As (0.5000, 0.5000, 0.0000)
Au (0.0000, 0.5000, 0.5000)
Au (0.5000, 0.0000, 0.5000)

Results
Magnetization (μB per cell): 0.00
Calculated formation energy (eV per atom): 0.02
Offset from the most stable computed form (meV/atom): 15
Space-group type: P4/mmm (123)